TmGaSn2 | PBE | optimized geometry

The structure in POSCAR format:
```
TmGaSn2
1.0
-3.475 0.782 -3.059
-2.450 -3.216 1.962
-1.768 3.049 2.789
Tm Sn Ga
1 2 1
Direct
0.500 0.500 0.500 Tm
0.000 0.000 0.500 Sn
0.000 0.500 0.000 Sn
0.500 0.000 0.000 Ga
```

Calculated volume (Å³/cell): 94.8
E_tot (eV per formula unit): -17.14
Calculated formation energy (kJ/mol of formula units): -158

Tm3Ga2Sn | PBE | optimized geometry

The structure in POSCAR format:
```
Tm3Ga2Sn
1.0
-2.140 1.006 -3.749
-4.078 -10.270 -0.428
-9.437 3.483 6.322
Tm Ga Sn
12 8 4
Direct
0.250 0.383 0.043 Tm
0.750 0.617 0.957 Tm
0.750 0.883 0.457 Tm
0.250 0.117 0.543 Tm
0.250 0.674 0.205 Tm
0.750 0.326 0.795 Tm
0.750 0.174 0.295 Tm
0.250 0.826 0.705 Tm
0.250 0.411 0.356 Tm
0.750 0.589 0.644 Tm
0.750 0.911 0.144 Tm
0.250 0.089 0.856 Tm
0.250 0.697 0.499 Ga
0.750 0.303 0.501 Ga
0.750 0.197 0.001 Ga
0.250 0.803 0.999 Ga
0.250 0.963 0.318 Ga
0.750 0.037 0.682 Ga
0.750 0.463 0.182 Ga
0.250 0.537 0.818 Ga
0.250 0.115 0.126 Sn
0.750 0.885 0.874 Sn
0.750 0.615 0.374 Sn
0.250 0.385 0.626 Sn
```

Calculated volume (Å³/cell): 582.3
E_tot (eV per formula unit): -26.54
Calculated formation energy (kJ/mol of formula units): -296

Tm2Ga2Sn | PBE | optimized geometry

The structure in POSCAR format:
```
Tm2Ga2Sn
1.0
4.028 0.000 0.000
0.000 4.048 0.000
0.000 -2.024 7.000
Tm Ga Sn
2 2 1
Direct
0.500 0.632 0.264 Tm
0.500 0.368 0.736 Tm
0.000 0.200 0.400 Ga
0.000 0.800 0.600 Ga
0.000 0.000 0.000 Sn
```

Calculated volume (Å³/cell): 114.2
E_tot (eV per formula unit): -21.86
Calculated formation energy (kJ/mol of formula units): -276

Tm7Ga2Sn2 | PBE | optimized geometry

The structure in POSCAR format:
```
Tm7Ga2Sn2
1.0
6.708 -0.003 -0.815
0.003 7.143 0.003
-1.231 -0.002 6.644
Tm Ga Sn
7 2 2
Direct
0.000 0.273 0.500 Tm
0.500 0.727 0.000 Tm
0.000 0.727 0.500 Tm
0.500 0.273 0.000 Tm
0.000 0.000 0.000 Tm
0.500 0.755 0.500 Tm
0.500 0.245 0.500 Tm
0.713 0.000 0.287 Ga
0.287 0.000 0.713 Ga
0.818 0.500 0.818 Sn
0.182 0.500 0.182 Sn
```

Calculated volume (Å³/cell): 311.2
E_tot (eV per formula unit): -48.15
Calculated formation energy (kJ/mol of formula units): -269

Tm6Ga2Sn | PBE | optimized geometry

The structure in POSCAR format:
```
Tm6Ga2Sn
1.0
-7.609 2.791 -2.576
1.976 -7.507 -3.474
0.264 -1.457 8.375
Tm Ga Sn
12 4 2
Direct
0.540 0.723 0.816 Tm
0.460 0.277 0.184 Tm
0.093 0.277 0.816 Tm
0.907 0.723 0.184 Tm
0.797 0.758 0.555 Tm
0.203 0.242 0.445 Tm
0.203 0.758 0.962 Tm
0.797 0.242 0.038 Tm
0.702 0.381 0.679 Tm
0.298 0.619 0.321 Tm
0.298 0.976 0.679 Tm
0.702 0.024 0.321 Tm
0.500 0.379 0.879 Ga
0.500 0.621 0.121 Ga
0.647 0.000 0.647 Ga
0.353 0.000 0.353 Ga
0.000 0.500 0.500 Sn
0.000 0.000 0.000 Sn
```

Calculated volume (Å³/cell): 470.4
E_tot (eV per formula unit): -41.21
Calculated formation energy (kJ/mol of formula units): -417

TmGaSn2 | PBE | optimized geometry

The structure in POSCAR format:
```
TmGaSn2
1.0
-0.274 0.688 4.405
0.910 -3.325 2.841
6.267 0.867 2.520
Tm Ga Sn
1 1 2
Direct
0.667 0.667 0.998 Tm
0.498 0.498 0.506 Ga
0.089 0.089 0.732 Sn
0.245 0.245 0.264 Sn
```

Calculated volume (Å³/cell): 108.9
E_tot (eV per formula unit): -16.10
Calculated formation energy (kJ/mol of formula units): -58

Tm3GaSn3 | PBE | optimized geometry

The structure in POSCAR format:
```
Tm3GaSn3
1.0
-0.476 -1.802 -5.248
-1.180 -7.997 2.853
-6.736 5.173 -1.165
Tm Ga Sn
6 2 6
Direct
0.750 0.640 0.549 Tm
0.750 0.451 0.091 Tm
0.750 0.909 0.360 Tm
0.250 0.360 0.451 Tm
0.250 0.549 0.909 Tm
0.250 0.091 0.640 Tm
0.250 0.667 0.333 Ga
0.750 0.333 0.667 Ga
0.250 0.796 0.740 Sn
0.250 0.260 0.056 Sn
0.250 0.944 0.204 Sn
0.750 0.204 0.260 Sn
0.750 0.740 0.944 Sn
0.750 0.056 0.796 Sn
```

Calculated volume (Å³/cell): 354.4
E_tot (eV per formula unit): -31.03
Calculated formation energy (kJ/mol of formula units): -249

Tm8Ga2Sn | PBE | optimized geometry

The structure in POSCAR format:
```
Tm8Ga2Sn
1.0
4.880 0.000 0.000
0.000 7.889 -0.033
-2.440 -3.228 7.494
Tm Ga Sn
8 2 1
Direct
0.397 0.540 0.795 Tm
0.681 0.949 0.361 Tm
0.841 0.770 0.681 Tm
0.947 0.272 0.894 Tm
0.159 0.230 0.319 Tm
0.319 0.051 0.639 Tm
0.603 0.460 0.205 Tm
0.053 0.728 0.106 Tm
0.782 0.350 0.565 Ga
0.218 0.650 0.435 Ga
0.500 0.000 0.000 Sn
```

Calculated volume (Å³/cell): 288.0
E_tot (eV per formula unit): -49.49
Calculated formation energy (kJ/mol of formula units): -354